# 1
## CaCu2Pt4 (PBE)

Data for crystalline CaCu2Pt4 at its relaxed geometry.

```
CaCu2Pt4
1.0
4.230 -3.359 0.000
4.230 3.359 0.000
-3.032 0.000 4.074
Ca Cu Pt
1 2 4
direct
0.000 0.000 0.000
0.500 0.500 0.250
0.500 0.500 0.750
0.001 0.601 0.300
0.399 0.999 0.700
0.601 0.001 0.300
0.999 0.399 0.700
```

Calculated values
space group	C2/m
DOS(E_F)	7.3	states/eV per cell
E_tot	-36.6	eV per cell
energy of formation	-0.3188	eV per atom
calculated volume	16.54	A^3/atom

***

# 2
## Ca3Cu8Pt (PBE)

Data for crystalline Ca3Cu8Pt at its relaxed geometry.

```
Ca3Cu8Pt
1.0
2.571 1.485 8.468
-2.571 1.485 8.468
0.000 -2.969 8.468
Ca Cu Pt
3 8 1
direct
0.000 0.000 0.000
0.131 0.131 0.131
0.612 0.612 0.612
0.058 0.058 0.563
0.058 0.563 0.058
0.066 0.562 0.562
0.312 0.312 0.312
0.562 0.066 0.562
0.562 0.562 0.066
0.563 0.058 0.058
0.812 0.812 0.812
0.493 0.493 0.493
```

Calculated values
space group	R3m
DOS(E_F)	7.0	states/eV per cell
E_tot	-46.8	eV per cell
energy of formation	-0.1654	eV per atom
calculated volume	16.16	A^3/atom

***

# 3
## CaCu2Pt (PBE)

Data for crystalline CaCu2Pt at its relaxed geometry.

```
CaCu2Pt
1.0
3.404 0.000 0.000
0.000 3.404 0.000
0.000 0.000 5.969
Ca Cu Pt
1 2 1
direct
0.000 0.000 0.000
0.500 0.500 0.299
0.500 0.500 0.701
0.000 0.000 0.500
```

Calculated values
space group	P4/mmm
DOS(E_F)	3.4	states/eV per cell
E_tot	-16.8	eV per cell
energy of formation	-0.1347	eV per atom
calculated volume	17.29	A^3/atom

***

# 4
## CaCu2Pt (PBE)

Data for crystalline CaCu2Pt at its relaxed geometry.

```
CaCu2Pt
1.0
3.744 -2.167 0.000
3.744 2.167 0.000
-2.512 0.000 4.670
Ca Cu Pt
1 2 1
direct
0.000 0.000 0.000
0.199 0.199 0.596
0.801 0.801 0.404
0.500 0.500 0.500
```

Calculated values
space group	C2/m
DOS(E_F)	1.6	states/eV per cell
E_tot	-17.7	eV per cell
energy of formation	-0.3615	eV per atom
calculated volume	18.94	A^3/atom

***

# 5
## CaCuPt2 (PBE)

Data for crystalline CaCuPt2 at its relaxed geometry.

```
CaCuPt2
1.0
-2.035 2.053 4.079
2.035 -2.053 4.079
2.035 2.053 -4.079
Ca Cu Pt
1 1 2
direct
0.000 0.000 0.000
0.500 0.500 0.000
0.251 0.751 0.500
0.749 0.249 0.500
```

Calculated values
space group	Immm
DOS(E_F)	2.6	states/eV per cell
E_tot	-19.9	eV per cell
energy of formation	-0.4276	eV per atom
calculated volume	17.04	A^3/atom

***

# 6
## CaCu2Pt (PBE)

Data for crystalline CaCu2Pt at its relaxed geometry.

```
CaCu2Pt
1.0
-2.060 2.060 3.875
2.060 -2.060 3.875
2.060 2.060 -3.875
Ca Cu Pt
1 2 1
direct
0.000 0.000 0.000
0.250 0.750 0.500
0.750 0.250 0.500
0.500 0.500 0.000
```

Calculated values
space group	I4/mmm
DOS(E_F)	1.0	states/eV per cell
E_tot	-17.3	eV per cell
energy of formation	-0.2746	eV per atom
calculated volume	16.44	A^3/atom